[1]
Here is Ca2TaMn after structural relaxation from the Alexandria database. Energies are from PBE.

a = 4.263 Å, b = 4.263 Å, c = 5.080 Å
α = 90.00°, β = 90.00°, γ = 90.00°
Atoms (fractional coordinates):
Ca1 0.000 0.500 0.000
Ca2 0.500 0.000 0.000
Ta1 0.000 0.000 0.500
Mn1 0.500 0.500 0.500

Output
V (Å³/f.u.): 92.31
Energy relative to the elements (eV per formula unit): 3.3
Space-group type: P4/mmm (123)
E_tot (eV for the cell shown): -21.758
Distance to the lowest polymorph of the same formula (meV/atom): 507


[2]
Here is BaSc2Rh after structural relaxation from the Alexandria database. Energies are from PBE.

a = 4.098 Å, b = 4.098 Å, c = 8.612 Å
α = 103.63°, β = 103.63°, γ = 59.90°
Atoms (fractional coordinates):
Ba1 0.000 0.000 0.000
Sc1 0.212 0.212 0.638
Sc2 0.788 0.788 0.362
Rh1 0.500 0.500 0.500

Output
V (Å³/f.u.): 120.42
Energy relative to the elements (eV per formula unit): -1.1
Space-group type: C2/m (12)
E_tot (eV for the cell shown): -23.059


[3]
Here is Zr2GaC after structural relaxation from the Alexandria database. Energies are from PBE.

a = 7.459 Å, b = 7.459 Å, c = 7.459 Å
α = 25.78°, β = 25.78°, γ = 25.78°
Atoms (fractional coordinates):
Zr1 0.000 0.000 0.000
Zr2 0.216 0.216 0.216
Ga1 0.775 0.775 0.775
C1 0.607 0.607 0.607

Output
V (Å³/f.u.): 69.15
Energy relative to the elements (eV per formula unit): -2.8
Space-group type: R3m (160)
E_tot (eV for the cell shown): -32.136


[4]
Here is SnRuO2 after structural relaxation from the Alexandria database. Energies are from PBE.

a = 6.723 Å, b = 6.723 Å, c = 6.723 Å
α = 139.65°, β = 139.65°, γ = 58.38°
Atoms (fractional coordinates):
Sn1 0.000 0.000 0.000
Sn2 0.750 0.250 0.500
Ru1 0.250 0.750 0.500
Ru2 0.500 0.500 0.000
O1 0.216 0.625 0.091
O2 0.375 0.466 0.591
O3 0.534 0.125 0.909
O4 0.875 0.784 0.409

Output
Energy relative to the elements, uncorrected (meV per atom): -327.4
V (Å³/f.u.): 63.10
Space-group type: I-42d (122)
E_tot (eV for the cell shown): -49.010


[5]
Here is Ca4YSc after structural relaxation from the Alexandria database. Energies are from PBE.

a = 6.832 Å, b = 6.832 Å, c = 6.832 Å
α = 60.00°, β = 60.00°, γ = 60.00°
Atoms (fractional coordinates):
Ca1 0.125 0.125 0.125
Ca2 0.125 0.125 0.625
Ca3 0.125 0.625 0.125
Ca4 0.625 0.125 0.125
Y1 0.500 0.500 0.500
Sc1 0.750 0.750 0.750

Output
V (Å³/f.u.): 225.52
Energy relative to the elements (eV per formula unit): 2.4
Space-group type: F-43m (216)
E_tot (eV for the cell shown): -18.380


[6]
Here is ScMoSeN2 after structural relaxation from the Alexandria database. Energies are from PBE.

a = 3.869 Å, b = 3.869 Å, c = 6.249 Å
α = 90.00°, β = 90.00°, γ = 90.00°
Atoms (fractional coordinates):
Sc1 0.000 0.000 0.000
Mo1 0.000 0.000 0.500
Se1 0.500 0.500 0.000
N1 0.000 0.500 0.500
N2 0.500 0.000 0.500

Output
Energy relative to the elements, uncorrected (meV per atom): 63.5
V (Å³/f.u.): 93.53
Space-group type: P4/mmm (123)
E_tot (eV for the cell shown): -36.981
Distance to the lowest polymorph of the same formula (meV/atom): 239


[7]
Here is OsF3 after structural relaxation from the Alexandria database. Energies are from PBE.

a = 9.214 Å, b = 9.214 Å, c = 9.214 Å
α = 16.70°, β = 16.70°, γ = 16.70°
Atoms (fractional coordinates):
Os1 0.000 0.000 0.000
F1 0.069 0.069 0.069
F2 0.500 0.500 0.500
F3 0.931 0.931 0.931

Output
Energy relative to the elements, uncorrected (meV per atom): -599.1
V (Å³/f.u.): 56.35
Space-group type: R-3m (166)
E_tot (eV for the cell shown): -19.240


[8]
Here is KAc3C4O12 after structural relaxation from the Alexandria database. Energies are from PBE.

a = 7.042 Å, b = 7.042 Å, c = 7.042 Å
α = 98.27°, β = 98.27°, γ = 98.27°
Atoms (fractional coordinates):
K1 0.000 0.000 0.000
Ac1 0.000 0.521 0.479
Ac2 0.479 0.000 0.521
Ac3 0.521 0.479 0.000
C1 0.013 0.500 0.987
C2 0.500 0.500 0.500
C3 0.500 0.987 0.013
C4 0.987 0.013 0.500
O1 0.027 0.169 0.426
O2 0.111 0.889 0.500
O3 0.169 0.426 0.027
O4 0.375 0.625 0.500
O5 0.426 0.027 0.169
O6 0.500 0.111 0.889
O7 0.500 0.375 0.625
O8 0.574 0.831 0.973
O9 0.625 0.500 0.375
O10 0.831 0.973 0.574
O11 0.889 0.500 0.111
O12 0.973 0.574 0.831

Output
Energy relative to the elements, uncorrected (meV per atom): -2033.0
V (Å³/f.u.): 337.12
Space-group type: R32 (155)
E_tot (eV for the cell shown): -150.477


[9]
Here is ZnRe3 after structural relaxation from the Alexandria database. Energies are from PBE.

a = 9.149 Å, b = 9.149 Å, c = 9.149 Å
α = 17.39°, β = 17.39°, γ = 17.39°
Atoms (fractional coordinates):
Zn1 0.000 0.000 0.000
Re1 0.249 0.249 0.249
Re2 0.500 0.500 0.500
Re3 0.751 0.751 0.751

Output
V (Å³/f.u.): 59.70
Energy relative to the elements (eV per formula unit): 0.4
Space-group type: R-3m (166)
E_tot (eV for the cell shown): -38.180


[10]
Here is CeTh2CrN4 after structural relaxation from the Alexandria database. Energies are from PBE.

a = 6.156 Å, b = 6.156 Å, c = 12.144 Å
α = 90.00°, β = 90.00°, γ = 147.17°
Atoms (fractional coordinates):
Ce1 0.101 0.899 0.750
Ce2 0.899 0.101 0.250
Th1 0.367 0.633 0.552
Th2 0.367 0.633 0.948
Th3 0.633 0.367 0.052
Th4 0.633 0.367 0.448
Cr1 0.165 0.835 0.250
Cr2 0.835 0.165 0.750
N1 0.000 0.000 0.000
N2 0.000 0.000 0.500
N3 0.275 0.725 0.132
N4 0.275 0.725 0.368
N5 0.437 0.563 0.750
N6 0.563 0.437 0.250
N7 0.725 0.275 0.632
N8 0.725 0.275 0.868

Output
Energy relative to the elements, uncorrected (meV per atom): -1169.2
V (Å³/f.u.): 124.78
Space-group type: Cmcm (63)
E_tot (eV for the cell shown): -146.104


[11]
Here is SrMgIn2 after structural relaxation from the Alexandria database. Energies are from PBE.

a = 7.844 Å, b = 4.985 Å, c = 11.603 Å
α = 90.00°, β = 90.00°, γ = 90.00°
Atoms (fractional coordinates):
Sr1 0.215 0.250 0.171
Sr2 0.285 0.750 0.671
Sr3 0.715 0.250 0.329
Sr4 0.785 0.750 0.829
Mg1 0.045 0.750 0.402
Mg2 0.455 0.250 0.902
Mg3 0.545 0.750 0.098
Mg4 0.955 0.250 0.598
In1 0.074 0.250 0.848
In2 0.218 0.750 0.964
In3 0.282 0.250 0.464
In4 0.426 0.750 0.348
In5 0.574 0.250 0.652
In6 0.718 0.750 0.536
In7 0.782 0.250 0.036
In8 0.926 0.750 0.152

Output
V (Å³/f.u.): 113.42
Energy relative to the elements (eV per formula unit): -1.4
Space-group type: Pnma (62)
E_tot (eV for the cell shown): -40.457


[12]
Here is TcWN after structural relaxation from the Alexandria database. Energies are from PBE.

a = 5.498 Å, b = 5.498 Å, c = 4.837 Å
α = 90.00°, β = 90.00°, γ = 150.09°
Atoms (fractional coordinates):
Tc1 0.211 0.789 0.500
Tc2 0.789 0.211 0.000
W1 0.071 0.929 0.963
W2 0.929 0.071 0.463
N1 0.444 0.556 0.142
N2 0.556 0.444 0.642

Output
Energy relative to the elements, uncorrected (meV per atom): -104.1
V (Å³/f.u.): 36.45
Space-group type: Cmc2_1 (36)
E_tot (eV for the cell shown): -63.914
Distance to the lowest polymorph of the same formula (meV/atom): 30